(1)
Material: DyEr3Tm6Sc2
Method: DFT, PBE
State: relaxed

a b c (Å): 5.9960 10.3731 11.4666
angles (deg): 90.00 100.01 90.00
With the nearest neighbours (Å) after each atom.
Space group C2/m (No. 12)
One atom of each set of equivalent atoms:
Dy 0.0000 0.0000 0.0000 (multiplicity 2)  6 Tm 3.42-3.43, 6 Sc 3.46
Er 0.0000 0.1669 0.5000 (multiplicity 4)  6 Er 3.46, 6 Tm 3.49-3.50
Er 0.0000 0.5000 0.5000 (multiplicity 2)  6 Er 3.46, 6 Tm 3.49-3.50
Tm 0.2470 0.5000 0.2455 (multiplicity 4)  2 Sc 3.41, 1 Dy 3.42, 6 Tm 3.45-3.48, 3 Er 3.49-3.50
Tm 0.2502 0.1677 0.2456 (multiplicity 8)  2 Sc 3.41-3.42, 1 Dy 3.43, 6 Tm 3.45-3.48, 3 Er 3.49-3.50
Sc 0.0000 0.3333 0.0000 (multiplicity 4)  6 Tm 3.41-3.42, 3 Dy 3.46, 3 Sc 3.46

Calculated values
calculated density	8.4	g/cm3
ΔE_f	0.0388	eV/atom
magnetic moment	0.00	μB/atom

=====

(2)
Material: AlRe2
Method: DFT, PBE
State: relaxed

a b c (Å): 9.7098 3.0534 6.2891
angles (deg): 90.00 108.51 90.00
With the nearest neighbours (Å) after each atom.
Space group Cm (No. 8)
One atom of each set of equivalent atoms:
Al 0.0000 0.0000 0.0000 (multiplicity 2)  8 Re 2.60-2.90, 2 Al 2.82
Al 0.1872 0.5000 0.3506 (multiplicity 2)  8 Re 2.62-2.88, 2 Al 2.82
Re 0.0254 0.0000 0.5549 (multiplicity 2)  7 Re 2.65-2.87, 3 Al 2.78-2.89
Re 0.1872 0.5000 0.8939 (multiplicity 2)  4 Al 2.62-2.90, 6 Re 2.69-2.73
Re 0.3370 0.0000 0.6811 (multiplicity 2)  4 Al 2.62, 5 Re 2.69-2.87
Re 0.3744 0.0000 0.2170 (multiplicity 2)  5 Al 2.60-2.88, 4 Re 2.65-2.72

Calculated values
calculated density	15.0	g/cm3
ΔE_f	-0.0484	eV/atom
magnetic moment	0.00	μB/atom

=====

(3)
Material: TaCo2Sn2
Method: DFT, PBE
State: relaxed

a b c (Å): 7.1794 7.1794 3.1064
angles (deg): 90.00 90.00 90.00
With the nearest neighbours (Å) after each atom.
Space group P4/mbm (No. 127)
One atom of each set of equivalent atoms:
Ta 0.0000 0.0000 0.0000 (multiplicity 2)  4 Co 2.82, 8 Sn 3.09, 2 Ta 3.11
Co 0.1292 0.3708 0.0000 (multiplicity 4)  6 Sn 2.59-2.65, 1 Co 2.62, 2 Ta 2.82
Sn 0.1668 0.6668 0.5000 (multiplicity 4)  6 Co 2.59-2.65

Calculated values
calculated density	11.1	g/cm3
ΔE_f	0.1317	eV/atom
magnetic moment	0.00	μB/atom

=====

(4)
Material: BaBiSN2
Method: DFT, PBE
State: relaxed

a b c (Å): 4.5392 4.5392 6.0708
angles (deg): 90.00 90.00 90.00
With the nearest neighbours (Å) after each atom.
Space group P4/mmm (No. 123)
One atom of each set of equivalent atoms:
Ba 0.0000 0.0000 0.0000 (multiplicity 1)  4 N 2.27
Bi 0.5000 0.5000 0.5000 (multiplicity 1)  4 S 3.21
S 0.0000 0.0000 0.5000 (multiplicity 1)  2 Ba 3.04, 4 Bi 3.21
N 0.0000 0.5000 0.0000 (multiplicity 2)  2 Ba 2.27

Calculated values
calculated density	5.4	g/cm3
formation energy (no corrections)	1.42	eV/atom
offset from the most stable computed form	1030	meV/atom
magnetic moment	0.20	μB/atom